Compound: Li3Dy2Pt4
Source: Alexandria
Functional: PBE-GGA
Structure: relaxed

The space group is Cmce (No. 64) and the conventional cell measures 5.532, 14.679 and 7.559 Å, with angles of 90.00, 90.00 and 90.00 degrees. Symmetry generates all atoms from Li at (0.000, 0.000, 0.000), Li at (0.250, 0.219, 0.250), Dy at (0.000, 0.113, 0.588), Pt at (0.000, 0.178, 0.967) and Pt at (0.250, 0.049, 0.250).

The density of states at the Fermi level comes out at 10.48 states/eV per cell. As for the formation energy: -0.868 eV/atom.

---

Compound: Li2Dy3Pt5
Source: Alexandria
Functional: PBE-GGA
Structure: relaxed

The space group is P4/mbm (No. 127) and the conventional cell measures 9.740, 9.740 and 3.739 Å, with angles of 90.00, 90.00 and 90.00 degrees. Symmetry generates all atoms from Li at (0.120, 0.380, 0.000), Dy at (0.000, 0.000, 0.000), Dy at (0.175, 0.675, 0.000), Pt at (0.000, 0.500, 0.500) and Pt at (0.070, 0.216, 0.500).

The density of states at the Fermi level comes out at 7.08 states/eV per cell. As for the formation energy: -1.016 eV/atom.

---

Compound: LiDyPt
Source: Alexandria
Functional: PBE-GGA
Structure: relaxed

The space group is P-62m (No. 189) and the conventional cell measures 7.1471, 7.1471 and 4.0207 Å, with angles of 90.00, 90.00 and 120.00 degrees. Symmetry generates all atoms from Li at (0.0000, 0.7634, 0.0000), Dy at (0.0000, 0.4066, 0.5000), Pt at (0.0000, 0.0000, 0.5000) and Pt at (0.3333, 0.6667, 0.0000).

The density of states at the Fermi level comes out at 4.64 states/eV per cell. As for the formation energy: -0.888 eV/atom. The energy above the lowest structure with this stoichiometry is 0 meV/atom.

---

Compound: LiDyPt
Source: Alexandria
Functional: PBE-GGA
Structure: relaxed

The space group is F-43m (No. 216) and the conventional cell measures 6.504, 6.504 and 6.504 Å, with angles of 90.00, 90.00 and 90.00 degrees. Symmetry generates all atoms from Li at (0.000, 0.000, 0.000), Dy at (0.000, 0.000, 0.500) and Pt at (0.250, 0.250, 0.250).

The density of states at the Fermi level comes out at 3.22 states/eV per cell. As for the formation energy: -0.734 eV/atom. The energy above the lowest structure with this stoichiometry is 154 meV/atom.

---

Compound: LiDy2Pt
Source: Alexandria
Functional: PBE-GGA
Structure: relaxed

The space group is R3m (No. 160, hexagonal axes) and the conventional cell measures 4.1614, 4.1614 and 22.7939 Å, with angles of 90.00, 90.00 and 120.00 degrees. Symmetry generates all atoms from Li at (0.0000, 0.0000, 0.0000), Dy at (0.0000, 0.0000, 0.2332), Dy at (0.0000, 0.0000, 0.4405) and Pt at (0.0000, 0.0000, 0.8376).

The density of states at the Fermi level comes out at 12.42 states/eV per cell. As for the formation energy: -0.507 eV/atom.

---

Compound: LiDyPt2
Source: Alexandria
Functional: PBE-GGA
Structure: relaxed

The space group is P4/mmm (No. 123) and the conventional cell measures 4.225, 4.225 and 3.907 Å, with angles of 90.00, 90.00 and 90.00 degrees. Symmetry generates all atoms from Li at (0.000, 0.000, 0.000), Dy at (0.500, 0.500, 0.000) and Pt at (0.000, 0.500, 0.500).

The density of states at the Fermi level comes out at 1.09 states/eV per cell. As for the formation energy: -0.952 eV/atom.

---

Compound: LiDy6Pt5
Source: Alexandria
Functional: PBE-GGA
Structure: relaxed

The space group is Immm (No. 71) and the conventional cell measures 4.912, 7.035 and 14.984 Å, with angles of 90.00, 90.00 and 90.00 degrees. Symmetry generates all atoms from Li at (0.000, 0.000, 0.000), Dy at (0.000, 0.238, 0.500), Dy at (0.000, 0.255, 0.170), Pt at (0.000, 0.000, 0.325), Pt at (0.000, 0.500, 0.000) and Pt at (0.000, 0.500, 0.350).

The density of states at the Fermi level comes out at 16.15 states/eV per cell. As for the formation energy: -1.060 eV/atom.

---

Compound: LiDy2Pt4
Source: Alexandria
Functional: PBE-GGA
Structure: relaxed

The space group is Fmmm (No. 69) and the conventional cell measures 5.779, 8.388 and 11.397 Å, with angles of 90.00, 90.00 and 90.00 degrees. Symmetry generates all atoms from Li at (0.000, 0.000, 0.000), Dy at (0.000, 0.000, 0.356), Pt at (0.250, 0.250, 0.000) and Pt at (0.250, 0.250, 0.250).

The density of states at the Fermi level comes out at 11.19 states/eV per cell. As for the formation energy: -0.833 eV/atom. The energy above the lowest structure with this stoichiometry is 0 meV/atom.